No. 1
Entry from Alexandria via LeMat-Bulk: BaTlTc2 after structural relaxation (PBE-GGA).

Cell and atoms, written as CIF:
```
data_BaTlTc2
_cell_length_a 3.833
_cell_length_b 4.819
_cell_length_c 12.156
_cell_angle_alpha 90.00
_cell_angle_beta 90.00
_cell_angle_gamma 90.00
_symmetry_space_group_name_H-M 'I m m 2'
_symmetry_Int_Tables_number 44
_symmetry_space_group_name_Hall 'I 2 -2'
loop_
_atom_site_label
_atom_site_type_symbol
_atom_site_fract_x
_atom_site_fract_y
_atom_site_fract_z
Ba1 Ba 0.000 0.000 0.000
Tl1 Tl 0.000 0.500 0.236
Tc1 Tc 0.000 0.000 0.380
Tc2 Tc 0.000 0.500 0.772
```

Values from the calculation:
DOS at the Fermi energy	8.51	states/eV/cell
density	8.0	g/cm³
ΔH_f (0 K)	0.6201	eV/atom
V	28.064	A^3/atom
ΔE to the lowest computed polymorph	0.3093	eV per atom

***

No. 2
Entry from Alexandria via LeMat-Bulk: CrCuGeS4 after structural relaxation (PBE-GGA).

Cell and atoms, written as CIF:
```
data_CrCuGeS4
_cell_length_a 7.033
_cell_length_b 7.107
_cell_length_c 9.959
_cell_angle_alpha 90.00
_cell_angle_beta 90.00
_cell_angle_gamma 90.00
_symmetry_space_group_name_H-M 'I m m a'
_symmetry_Int_Tables_number 74
_symmetry_space_group_name_Hall '-I 2b 2'
loop_
_atom_site_label
_atom_site_type_symbol
_atom_site_fract_x
_atom_site_fract_y
_atom_site_fract_z
Cr1 Cr 0.250 0.250 0.250
Cu1 Cu 0.000 0.250 0.631
Ge1 Ge 0.000 0.000 0.000
S1 S 0.000 0.020 0.243
S2 S 0.241 0.250 0.010
```

Values from the calculation:
formation energy (no corrections)	-0.476	eV per atom
DOS at the Fermi energy	7.89	states/eV/cell
density	4.2	g/cm³
V	17.779	A^3/atom

***

No. 3
Entry from Alexandria via LeMat-Bulk: K2CaTaSn after structural relaxation (PBE-GGA).

Cell and atoms, written as CIF:
```
data_K2CaTaSn
_cell_length_a 6.306
_cell_length_b 6.306
_cell_length_c 5.700
_cell_angle_alpha 90.00
_cell_angle_beta 90.00
_cell_angle_gamma 90.00
_symmetry_space_group_name_H-M 'P 4/m m m'
_symmetry_Int_Tables_number 123
_symmetry_space_group_name_Hall '-P 4 2'
loop_
_atom_site_label
_atom_site_type_symbol
_atom_site_fract_x
_atom_site_fract_y
_atom_site_fract_z
K1 K 0.000 0.500 0.000
Ca1 Ca 0.000 0.000 0.000
Ta1 Ta 0.500 0.500 0.500
Sn1 Sn 0.000 0.000 0.500
```

Values from the calculation:
DOS at the Fermi energy	6.37	states/eV/cell
density	3.1	g/cm³
ΔH_f (0 K)	1.6033	eV/atom
V	45.329	A^3/atom

***

No. 4
Entry from Alexandria via LeMat-Bulk: LaFeHg3 after structural relaxation (PBE-GGA).

Cell and atoms, written as CIF:
```
data_LaFeHg3
_cell_length_a 5.044
_cell_length_b 5.044
_cell_length_c 5.044
_cell_angle_alpha 90.00
_cell_angle_beta 90.00
_cell_angle_gamma 90.00
_symmetry_space_group_name_H-M 'P m -3 m'
_symmetry_Int_Tables_number 221
_symmetry_space_group_name_Hall '-P 4 2 3'
loop_
_atom_site_label
_atom_site_type_symbol
_atom_site_fract_x
_atom_site_fract_y
_atom_site_fract_z
La1 La 0.000 0.000 0.000
Fe1 Fe 0.500 0.500 0.500
Hg1 Hg 0.000 0.500 0.500
```

Values from the calculation:
DOS at the Fermi energy	3.95	states/eV/cell
density	10.3	g/cm³
ΔH_f (0 K)	0.0167	eV/atom
V	25.672	A^3/atom
ΔE to the lowest computed polymorph	0.0000	eV per atom

***

No. 5
Entry from Alexandria via LeMat-Bulk: Na2Ni3Ge4 after structural relaxation (PBE-GGA).

Cell and atoms, written as CIF:
```
data_Na2Ni3Ge4
_cell_length_a 5.373
_cell_length_b 9.197
_cell_length_c 12.050
_cell_angle_alpha 90.00
_cell_angle_beta 90.00
_cell_angle_gamma 90.00
_symmetry_space_group_name_H-M 'F m m m'
_symmetry_Int_Tables_number 69
_symmetry_space_group_name_Hall '-F 2 2'
loop_
_atom_site_label
_atom_site_type_symbol
_atom_site_fract_x
_atom_site_fract_y
_atom_site_fract_z
Na1 Na 0.000 0.000 0.126
Ni1 Ni 0.000 0.000 0.500
Ni2 Ni 0.250 0.250 0.000
Ge1 Ge 0.000 0.174 0.346
```

Values from the calculation:
DOS at the Fermi energy	17.30	states/eV/cell
density	5.7	g/cm³
ΔH_f (0 K)	-0.1390	eV/atom
V	16.541	A^3/atom

***

No. 6
Entry from Alexandria via LeMat-Bulk: Tb6Ge2As3S after structural relaxation (PBE-GGA).

Cell and atoms, written as CIF:
```
data_Tb6Ge2As3S
_cell_length_a 17.975
_cell_length_b 4.078
_cell_length_c 8.297
_cell_angle_alpha 90.00
_cell_angle_beta 103.21
_cell_angle_gamma 90.00
_symmetry_space_group_name_H-M 'C 1 2/m 1'
_symmetry_Int_Tables_number 12
_symmetry_space_group_name_Hall '-C 2y'
loop_
_atom_site_label
_atom_site_type_symbol
_atom_site_fract_x
_atom_site_fract_y
_atom_site_fract_z
Tb1 Tb 0.000 0.000 0.250
Tb2 Tb 0.165 0.500 0.080
Tb3 Tb 0.166 0.500 0.586
Ge1 Ge 0.166 0.000 0.332
As1 As 0.000 0.500 0.500
As2 As 0.165 0.000 0.835
S1 S 0.000 0.500 0.000
```

Values from the calculation:
formation energy (no corrections)	-1.372	eV per atom
DOS at the Fermi energy	7.66	states/eV/cell
density	7.6	g/cm³
V	24.667	A^3/atom

***

Copy entry 2 word for word.
Entry from Alexandria via LeMat-Bulk: CrCuGeS4 after structural relaxation (PBE-GGA).

Cell and atoms, written as CIF:
```
data_CrCuGeS4
_cell_length_a 7.033
_cell_length_b 7.107
_cell_length_c 9.959
_cell_angle_alpha 90.00
_cell_angle_beta 90.00
_cell_angle_gamma 90.00
_symmetry_space_group_name_H-M 'I m m a'
_symmetry_Int_Tables_number 74
_symmetry_space_group_name_Hall '-I 2b 2'
loop_
_atom_site_label
_atom_site_type_symbol
_atom_site_fract_x
_atom_site_fract_y
_atom_site_fract_z
Cr1 Cr 0.250 0.250 0.250
Cu1 Cu 0.000 0.250 0.631
Ge1 Ge 0.000 0.000 0.000
S1 S 0.000 0.020 0.243
S2 S 0.241 0.250 0.010
```

Values from the calculation:
formation energy (no corrections)	-0.476	eV per atom
DOS at the Fermi energy	7.89	states/eV/cell
density	4.2	g/cm³
V	17.779	A^3/atom

***

Look up the DOS at the Fermi energy of the first one.
8.51 states/eV/cell